No. 1
DFT (PBE-GGA) results for FeTc2P after structural relaxation.

Results
Formation energy from the elements = -0.16 eV per atom
Volume = 12.9 Å³/atom

abc: 2.9221 2.9221 6.0455
angles: 90.00 90.00 90.00
With the nearest neighbours (Å) after each atom.
Space group P4/mmm (No. 123)
Unique sites:
Fe  0.0000  0.0000  0.0000  8 Tc 2.62, 4 Fe 2.92
Tc  0.5000  0.5000  0.2664  4 P 2.50, 4 Fe 2.62
P  0.0000  0.0000  0.5000  8 Tc 2.50

No. 2
DFT (PBE-GGA) results for FeTc2P after structural relaxation.

Results
Formation energy from the elements = 0.02 eV per atom
Volume = 13.4 Å³/atom

abc: 2.7947 2.7947 23.7532
angles: 90.00 90.00 120.00
With the nearest neighbours (Å) after each atom.
Space group R-3m (No. 166, hexagonal axes)
Unique sites:
Fe  0.0000  0.0000  0.0000  6 Tc 2.63, 6 Fe 2.79
Tc  0.0000  0.0000  0.2458  3 P 2.48, 3 Fe 2.63
P  0.0000  0.0000  0.5000  6 Tc 2.48

No. 3
DFT (PBE-GGA) results for ThFeTcP2 after structural relaxation.

Results
Formation energy from the elements = -0.92 eV per atom
Volume = 16.2 Å³/atom

abc: 4.0454 4.0454 9.8796
angles: 90.00 90.00 90.00
With the nearest neighbours (Å) after each atom.
Space group I-4m2 (No. 119)
Unique sites:
Th  0.0000  0.0000  0.0000  8 P 3.16, 4 Fe 3.19, 4 Tc 3.19
Fe  0.0000  0.5000  0.2500  4 P 2.31
Tc  0.0000  0.5000  0.7500  4 P 2.31
P  0.0000  0.0000  0.3631  2 Fe 2.31, 2 Tc 2.31

No. 4
DFT (PBE-GGA) results for UFeTc2P2 after structural relaxation.

Results
Formation energy from the elements = -0.50 eV per atom
Volume = 14.7 Å³/atom

abc: 3.8850 6.7791 6.7113
angles: 90.00 90.00 90.00
With the nearest neighbours (Å) after each atom.
Space group Pmc2_1 (No. 26)
Unique sites:
U  0.0000  0.0961  0.0000  5 P 2.72-2.83, 4 Tc 2.88-2.99, 2 Fe 2.94
Fe  0.5000  0.1886  0.6582  4 P 2.34-2.43
Tc  0.0000  0.3252  0.3680  4 P 2.30-2.37
Tc  0.5000  0.4051  0.0556  3 P 2.46-2.66
P  0.0000  0.3743  0.7084  2 Tc 2.30-2.31, 2 Fe 2.34
P  0.5000  0.1353  0.3001  3 Tc 2.37-2.46, 2 Fe 2.39-2.43